Record 1
The following is a PBE calculation of a relaxed structure of HfSc2Pt9, from the Alexandria database.

abc: 4.016 4.016 12.042
angles: 90.00 90.00 90.00
Fractional coordinates of all 12 atoms:
Hf (0.000, 0.000, 0.000)
Sc (0.000, 0.000, 0.336)
Sc (0.000, 0.000, 0.664)
Pt (0.000, 0.500, 0.166)
Pt (0.000, 0.500, 0.500)
Pt (0.000, 0.500, 0.834)
Pt (0.500, 0.000, 0.166)
Pt (0.500, 0.000, 0.500)
Pt (0.500, 0.000, 0.834)
Pt (0.500, 0.500, 0.000)
Pt (0.500, 0.500, 0.333)
Pt (0.500, 0.500, 0.667)

Output
- Space group: P4/mmm, No. 123
- E_form: -1096 meV/atom

***

Record 2
The following is a PBE calculation of a relaxed structure of NiRuAu2N, from the Alexandria database.

abc: 4.456 4.456 3.789
angles: 90.00 90.00 90.00
Fractional coordinates of all 5 atoms:
Ni (0.000, 0.000, 0.000)
Ru (0.500, 0.500, 0.000)
Au (0.000, 0.500, 0.500)
Au (0.500, 0.000, 0.500)
N (0.500, 0.500, 0.500)

Output
- Space group: P4/mmm, No. 123
- Total energy: -5.210 eV per atom

***

Record 3
The following is a PBE calculation of a relaxed structure of Zn2GePb2, from the Alexandria database.

abc: 8.337 8.337 3.529
angles: 90.00 90.00 90.00
Fractional coordinates of all 10 atoms:
Zn (0.110, 0.390, 0.000)
Zn (0.390, 0.890, 0.000)
Zn (0.610, 0.110, 0.000)
Zn (0.890, 0.610, 0.000)
Ge (0.000, 0.000, 0.500)
Ge (0.500, 0.500, 0.500)
Pb (0.190, 0.690, 0.500)
Pb (0.310, 0.190, 0.500)
Pb (0.690, 0.810, 0.500)
Pb (0.810, 0.310, 0.500)

Output
- Space group: P4/mbm, No. 127
- E_form: 317 meV/atom

***

Record 4
The following is a PBE calculation of a relaxed structure of Cs5CdCl8, from the Alexandria database.

abc: 9.074 9.074 9.074
angles: 113.29 113.29 102.08
Fractional coordinates of all 14 atoms:
Cs (0.000, 0.000, 0.000)
Cs (0.244, 0.640, 0.124)
Cs (0.360, 0.483, 0.604)
Cs (0.517, 0.121, 0.876)
Cs (0.879, 0.756, 0.396)
Cd (0.750, 0.250, 0.500)
Cl (0.047, 0.246, 0.675)
Cl (0.177, 0.764, 0.782)
Cl (0.236, 0.018, 0.414)
Cl (0.571, 0.373, 0.325)
Cl (0.604, 0.823, 0.586)
Cl (0.627, 0.953, 0.199)
Cl (0.754, 0.429, 0.801)
Cl (0.982, 0.396, 0.218)

Output
- Space group: I-4, No. 82
- Total energy: -2.986 eV per atom

***

Record 5
The following is a PBE calculation of a relaxed structure of Ce3YRu2, from the Alexandria database.

abc: 8.300 8.300 8.402
angles: 116.53 116.53 32.52
Fractional coordinates of all 12 atoms:
Ce (0.065, 0.065, 0.414)
Ce (0.294, 0.294, 0.650)
Ce (0.376, 0.376, 0.302)
Ce (0.624, 0.624, 0.698)
Ce (0.706, 0.706, 0.350)
Ce (0.935, 0.935, 0.586)
Y (0.112, 0.112, 0.027)
Y (0.888, 0.888, 0.973)
Ru (0.244, 0.244, 0.880)
Ru (0.485, 0.485, 0.809)
Ru (0.515, 0.515, 0.191)
Ru (0.756, 0.756, 0.120)

Output
- Space group: C2/m, No. 12
- E_form: -243 meV/atom

***

Record 6
The following is a PBE calculation of a relaxed structure of LiHCl2, from the Alexandria database.

abc: 5.994 5.994 5.994
angles: 128.47 128.47 75.87
Fractional coordinates of all 8 atoms:
Li (0.000, 0.000, 0.000)
Li (0.750, 0.250, 0.500)
H (0.250, 0.750, 0.500)
H (0.500, 0.500, 0.000)
Cl (0.183, 0.625, 0.058)
Cl (0.375, 0.433, 0.558)
Cl (0.567, 0.125, 0.942)
Cl (0.875, 0.817, 0.442)

Output
- Space group: I-42d, No. 122
- Total energy: -3.001 eV per atom

***

Record 7
The following is a PBE calculation of a relaxed structure of TbPr2YTh, from the Alexandria database.

abc: 6.390 8.477 6.616
angles: 90.00 101.25 90.00
Fractional coordinates of all 10 atoms:
Tb (0.000, 0.163, 0.250)
Tb (0.000, 0.837, 0.750)
Pr (0.278, 0.174, 0.833)
Pr (0.278, 0.826, 0.333)
Pr (0.722, 0.174, 0.667)
Pr (0.722, 0.826, 0.167)
Y (0.500, 0.405, 0.250)
Y (0.500, 0.595, 0.750)
Th (0.000, 0.500, 0.000)
Th (0.000, 0.500, 0.500)

Output
- Space group: P2/c, No. 13
- E_form: 242 meV/atom

***

Record 8
The following is a PBE calculation of a relaxed structure of Ba7Sr3Ac, from the Alexandria database.

abc: 14.884 14.884 21.269
angles: 90.00 90.00 163.68
Fractional coordinates of all 22 atoms:
Ba (0.017, 0.983, 0.643)
Ba (0.017, 0.983, 0.857)
Ba (0.110, 0.890, 0.250)
Ba (0.163, 0.837, 0.608)
Ba (0.163, 0.837, 0.892)
Ba (0.204, 0.796, 0.076)
Ba (0.204, 0.796, 0.424)
Ba (0.796, 0.204, 0.576)
Ba (0.796, 0.204, 0.924)
Ba (0.837, 0.163, 0.108)
Ba (0.837, 0.163, 0.392)
Ba (0.890, 0.110, 0.750)
Ba (0.983, 0.017, 0.143)
Ba (0.983, 0.017, 0.357)
Sr (0.258, 0.742, 0.250)
Sr (0.423, 0.577, 0.527)
Sr (0.423, 0.577, 0.973)
Sr (0.577, 0.423, 0.027)
Sr (0.577, 0.423, 0.473)
Sr (0.742, 0.258, 0.750)
Ac (0.393, 0.607, 0.250)
Ac (0.607, 0.393, 0.750)

Output
- Space group: Cmcm, No. 63
- E_form: 104 meV/atom

***

Record 9
The following is a PBE calculation of a relaxed structure of Zr3ScNi, from the Alexandria database.

abc: 4.957 4.957 4.957
angles: 90.00 90.00 90.00
Fractional coordinates of all 5 atoms:
Zr (0.000, 0.000, 0.500)
Zr (0.000, 0.500, 0.000)
Zr (0.500, 0.000, 0.000)
Sc (0.000, 0.000, 0.000)
Ni (0.500, 0.500, 0.500)

Output
- Space group: Pm-3m, No. 221
- E_form: 1368 meV/atom

***

Record 10
The following is a PBE calculation of a relaxed structure of CaAcTb2, from the Alexandria database.

abc: 3.795 3.795 10.316
angles: 90.00 90.00 90.00
Fractional coordinates of all 4 atoms:
Ca (0.000, 0.000, 0.000)
Ac (0.000, 0.000, 0.500)
Tb (0.500, 0.500, 0.256)
Tb (0.500, 0.500, 0.744)

Output
- Space group: P4/mmm, No. 123
- E_form: 103 meV/atom

***

Record 11
The following is a PBE calculation of a relaxed structure of Sm4Dy5Tm4, from the Alexandria database.

abc: 9.400 9.400 9.400
angles: 94.07 94.07 149.09
Fractional coordinates of all 13 atoms:
Sm (0.078, 0.617, 0.695)
Sm (0.383, 0.078, 0.460)
Sm (0.617, 0.922, 0.540)
Sm (0.922, 0.383, 0.305)
Dy (0.000, 0.000, 0.000)
Dy (0.310, 0.461, 0.770)
Dy (0.461, 0.690, 0.151)
Dy (0.539, 0.310, 0.849)
Dy (0.690, 0.539, 0.230)
Tm (0.154, 0.230, 0.384)
Tm (0.230, 0.846, 0.076)
Tm (0.770, 0.154, 0.924)
Tm (0.846, 0.770, 0.616)

Output
- Space group: I4/m, No. 87
- E_form: 20 meV/atom

***

Record 12
The following is a PBE calculation of a relaxed structure of Fe3AsIr, from the Alexandria database.

abc: 4.657 4.657 4.657
angles: 90.00 90.00 90.00
Fractional coordinates of all 5 atoms:
Fe (0.000, 0.000, 0.500)
Fe (0.000, 0.500, 0.000)
Fe (0.500, 0.000, 0.000)
As (0.500, 0.500, 0.500)
Ir (0.000, 0.000, 0.000)

Output
- Space group: Pm-3m, No. 221
- E_form: 1220 meV/atom